{
  "formula": "Ba2Mg2Mn3Tl2O10",
  "functional": "PBE with a Hubbard U",
  "state": "optimized geometry",
  "dos_at_fermi_per_ev_cell": 2.77,
  "space_group": "P1",
  "energy_ev_per_cell": -116.8,
  "lattice_angstrom": [[3.7524, 0.0000, 0.0000], [-0.0058, 3.7597, 0.0000], [-1.7886, -1.7483, 20.1204]],
  "species": ["Ba", "Ba", "Mg", "Mg", "Mn", "Mn", "Mn", "Tl", "Tl", "O", "O", "O", "O", "O", "O", "O", "O", "O", "O"],
  "frac_coords": [[0.0000, 0.0000, 0.0000], [0.3192, 0.2484, 0.6008], [0.1146, 0.0963, 0.2070], [0.2191, 0.1616, 0.3922], [0.5474, 0.5569, 0.1215], [0.6717, 0.6340, 0.3002], [0.7606, 0.6754, 0.4787], [0.4421, 0.4156, 0.8580], [0.8875, 0.8532, 0.7424], [0.0215, 0.5825, 0.1778], [0.1867, 0.6318, 0.3307], [0.2580, 0.5843, 0.4732], [0.3816, 0.4020, 0.7350], [0.4706, 0.0594, 0.1272], [0.5067, 0.5118, 0.0242], [0.6431, 0.1205, 0.2693], [0.7328, 0.0861, 0.4211], [0.8073, 0.7291, 0.5758], [0.9557, 0.8782, 0.8651]]
}